1.
Compound: TmHfTl2
Source: the Alexandria database
Functional: PBE
Structure: optimized geometry

Summary:
Volume in Å³/cell: 101.8
VASP energy in eV/atom: -4.7753
Symmetry: R-3m, No. 166
Crystal system: trigonal
Excess energy over the best structure of this formula in the dataset in meV/atom: 31
Formation enthalpy at 0 K in eV per atom: 0.0141

a = 10.1533 Å, b = 10.1533 Å, c = 10.1533 Å
α = 19.48°, β = 19.48°, γ = 19.48°
With the nearest neighbours (Å) after each atom.
Positions (direct):
Tm (0.0000, 0.0000, 0.0000)  6 Tl 3.23, 6 Tm 3.44
Hf (0.5000, 0.5000, 0.5000)  6 Tl 3.14, 6 Hf 3.44
Tl (0.2481, 0.2481, 0.2481)  3 Hf 3.14, 3 Tm 3.23, 6 Tl 3.44
Tl (0.7519, 0.7519, 0.7519)  3 Hf 3.14, 3 Tm 3.23, 6 Tl 3.44

---

2.
Compound: CaCd11In
Source: the Alexandria database
Functional: PBE
Structure: optimized geometry

Summary:
Volume in Å³/cell: 309.8
VASP energy in eV/atom: -1.2135
Symmetry: C2/m, No. 12
Crystal system: monoclinic
Formation enthalpy at 0 K in eV per atom: -0.0746

a = 7.7172 Å, b = 7.7172 Å, c = 7.7541 Å
α = 99.01°, β = 99.01°, γ = 133.13°
With the nearest neighbours (Å) after each atom.
Positions (direct):
Ca (0.0000, 0.0000, 0.0000)  18 Cd 3.54-3.88, 2 In 3.88
Cd (0.0000, 0.0000, 0.5000)  8 Cd 2.96-3.12, 2 In 3.07
Cd (0.0000, 0.5000, 0.0000)  10 Cd 2.93-3.12
Cd (0.0077, 0.6528, 0.6502)  7 Cd 2.97-3.31, 1 In 3.15
Cd (0.2802, 0.4957, 0.7876)  7 Cd 2.93-3.27, 1 In 3.00
Cd (0.3472, 0.9923, 0.3498)  7 Cd 2.97-3.31, 1 In 3.15
Cd (0.4957, 0.2802, 0.7876)  7 Cd 2.93-3.27, 1 In 3.00
Cd (0.5000, 0.0000, 0.0000)  10 Cd 2.93-3.12
Cd (0.5043, 0.7198, 0.2124)  7 Cd 2.93-3.27, 1 In 3.00
Cd (0.6528, 0.0077, 0.6502)  7 Cd 2.97-3.31, 1 In 3.15
Cd (0.7198, 0.5043, 0.2124)  7 Cd 2.93-3.27, 1 In 3.00
Cd (0.9923, 0.3472, 0.3498)  7 Cd 2.97-3.31, 1 In 3.15
In (0.5000, 0.5000, 0.5000)  10 Cd 3.00-3.15

---

3.
Compound: KLi2Al
Source: the Alexandria database
Functional: PBE
Structure: optimized geometry

Summary:
Volume in Å³/cell: 105.0
VASP energy in eV/atom: -2.0629
Symmetry: P4/mmm, No. 123
Crystal system: tetragonal
Formation enthalpy at 0 K in eV per atom: 0.1040

a = 3.4475 Å, b = 3.4475 Å, c = 8.8324 Å
α = 90.00°, β = 90.00°, γ = 90.00°
With the nearest neighbours (Å) after each atom.
Positions (direct):
K (0.0000, 0.0000, 0.0000)  4 K 3.45, 8 Li 3.83
Li (0.5000, 0.5000, 0.3345)  4 Al 2.84, 1 Li 2.92
Li (0.5000, 0.5000, 0.6655)  4 Al 2.84, 1 Li 2.92
Al (0.0000, 0.0000, 0.5000)  8 Li 2.84

---

4.
Compound: Li3MgHg3
Source: the Alexandria database
Functional: PBE
Structure: optimized geometry

Summary:
Volume in Å³/cell: 290.5
VASP energy in eV/atom: -1.4152
Symmetry: R-3, No. 148
Crystal system: trigonal
Excess energy over the best structure of this formula in the dataset in meV/atom: 6
Formation enthalpy at 0 K in eV per atom: -0.2379

a = 7.8432 Å, b = 7.8432 Å, c = 7.8432 Å
α = 53.65°, β = 53.65°, γ = 53.65°
With the nearest neighbours (Å) after each atom.
Positions (direct):
Li (0.0529, 0.5853, 0.2394)  4 Hg 2.70-2.86, 2 Li 2.89
Li (0.2394, 0.0529, 0.5853)  4 Hg 2.70-2.86, 2 Li 2.89
Li (0.4147, 0.7606, 0.9471)  4 Hg 2.70-2.86, 2 Li 2.89
Li (0.5853, 0.2394, 0.0529)  4 Hg 2.70-2.86, 2 Li 2.89
Li (0.7606, 0.9471, 0.4147)  4 Hg 2.70-2.86, 2 Li 2.89
Li (0.9471, 0.4147, 0.7606)  4 Hg 2.70-2.86, 2 Li 2.89
Mg (0.1648, 0.1648, 0.1648)  6 Hg 2.91-3.07, 3 Li 3.20
Mg (0.8352, 0.8352, 0.8352)  6 Hg 2.91-3.07, 3 Li 3.20
Hg (0.1860, 0.6964, 0.4193)  4 Li 2.70-2.86, 1 Mg 2.91
Hg (0.3036, 0.5807, 0.8140)  4 Li 2.70-2.86, 1 Mg 2.91
Hg (0.4193, 0.1860, 0.6964)  4 Li 2.70-2.86, 1 Mg 2.91
Hg (0.5807, 0.8140, 0.3036)  4 Li 2.70-2.86, 1 Mg 2.91
Hg (0.6964, 0.4193, 0.1860)  4 Li 2.70-2.86, 1 Mg 2.91
Hg (0.8140, 0.3036, 0.5807)  4 Li 2.70-2.86, 1 Mg 2.91

---

5.
Compound: PmMgRh4
Source: the Alexandria database
Functional: PBE
Structure: optimized geometry

Summary:
Volume in Å³/cell: 105.2
VASP energy in eV/atom: -6.4607
Symmetry: F-43m, No. 216
Crystal system: cubic
Formation enthalpy at 0 K in eV per atom: -0.5022

a = 5.2995 Å, b = 5.2995 Å, c = 5.2995 Å
α = 60.00°, β = 60.00°, γ = 60.00°
With the nearest neighbours (Å) after each atom.
Positions (direct):
Pm (0.0000, 0.0000, 0.0000)  12 Rh 3.11, 4 Mg 3.25
Mg (0.7500, 0.7500, 0.7500)  12 Rh 3.11, 4 Pm 3.25
Rh (0.3755, 0.3755, 0.3755)  6 Rh 2.64-2.66
Rh (0.3755, 0.3755, 0.8736)  6 Rh 2.64-2.66
Rh (0.3755, 0.8736, 0.3755)  6 Rh 2.64-2.66
Rh (0.8736, 0.3755, 0.3755)  6 Rh 2.64-2.66

---

6.
Compound: LaAuBr2
Source: the Alexandria database
Functional: PBE
Structure: optimized geometry

Summary:
Volume in Å³/cell: 104.0
ΔE_f (raw) in eV per atom: -1.092
VASP energy in eV/atom: -3.9793
Symmetry: Fm-3m, No. 225
Crystal system: cubic
Excess energy over the best structure of this formula in the dataset in meV/atom: 211

a = 5.2790 Å, b = 5.2790 Å, c = 5.2790 Å
α = 60.00°, β = 60.00°, γ = 60.00°
With the nearest neighbours (Å) after each atom.
Positions (direct):
La (0.0000, 0.0000, 0.0000)  8 Br 3.23
Au (0.5000, 0.5000, 0.5000)  8 Br 3.23
Br (0.2500, 0.2500, 0.2500)  4 La 3.23, 4 Au 3.23
Br (0.7500, 0.7500, 0.7500)  4 Au 3.23, 4 La 3.23